Version A
YCd3C: optimized geometry, PBE.

- ρ: 3.2 g cm⁻³

```
data_YCd3C
_cell_length_a 6.1349
_cell_length_b 6.1349
_cell_length_c 6.1349
_cell_angle_alpha 90.00
_cell_angle_beta 90.00
_cell_angle_gamma 90.00
_symmetry_space_group_name_H-M 'P m -3 m'
_symmetry_Int_Tables_number 221
_symmetry_space_group_name_Hall '-P 4 2 3'
loop_
_atom_site_label
_atom_site_fract_x
_atom_site_fract_y
_atom_site_fract_z
_atom_site_occupancy
Y1 0.0000 0.0000 0.0000 1
Cd1 0.0000 0.0000 0.5000 1
C1 0.5000 0.5000 0.5000 1
```


Version B
YCd3C: optimized geometry, PBE.

- ρ: 6.8 g cm⁻³

```
data_YCd3C
_cell_length_a 4.7528
_cell_length_b 4.7528
_cell_length_c 4.7528
_cell_angle_alpha 90.00
_cell_angle_beta 90.00
_cell_angle_gamma 90.00
_symmetry_space_group_name_H-M 'P m -3 m'
_symmetry_Int_Tables_number 221
_symmetry_space_group_name_Hall '-P 4 2 3'
loop_
_atom_site_label
_atom_site_fract_x
_atom_site_fract_y
_atom_site_fract_z
_atom_site_occupancy
Y1 0.0000 0.0000 0.0000 1
Cd1 0.0000 0.5000 0.5000 1
C1 0.5000 0.5000 0.5000 1
```


Preferred: version B; penalty for the next structure: 1272 meV/atom.


Version A
ZnCd2C: optimized geometry, PBE.

- ρ: 4.3 g cm⁻³

```
data_ZnCd2C
_cell_length_a 6.9242
_cell_length_b 6.9242
_cell_length_c 9.8443
_cell_angle_alpha 90.00
_cell_angle_beta 90.00
_cell_angle_gamma 90.00
_symmetry_space_group_name_H-M 'I 41/a m d'
_symmetry_Int_Tables_number 141
loop_
_symmetry_equiv_pos_as_xyz
'x,y,z'
'-x,-y,-z'
'-y+1/4,x+3/4,z+1/4'
'y+1/4,-x+3/4,-z+1/4'
'-x+1/2,-y,z+1/2'
'x+1/2,y,-z+1/2'
'y+1/4,-x+1/4,z+3/4'
'-y+1/4,x+1/4,-z+3/4'
'x,-y,-z'
'-x,y,z'
'-y+1/4,-x+1/4,-z+3/4'
'y+1/4,x+1/4,z+3/4'
'-x+1/2,y,-z+1/2'
'x+1/2,-y,z+1/2'
'y+1/4,x+3/4,-z+1/4'
'-y+1/4,-x+3/4,z+1/4'
'x+1/2,y+1/2,z+1/2'
'-x+1/2,-y+1/2,-z+1/2'
'-y+3/4,x+1/4,z+3/4'
'y+3/4,-x+1/4,-z+3/4'
'-x,-y+1/2,z'
'x,y+1/2,-z'
'y+3/4,-x+3/4,z+1/4'
'-y+3/4,x+3/4,-z+1/4'
'x+1/2,-y+1/2,-z+1/2'
'-x+1/2,y+1/2,z+1/2'
'-y+3/4,-x+3/4,-z+1/4'
'y+3/4,x+3/4,z+1/4'
'-x,y+1/2,-z'
'x,-y+1/2,z'
'y+3/4,x+1/4,-z+3/4'
'-y+3/4,-x+1/4,z+3/4'
loop_
_atom_site_label
_atom_site_fract_x
_atom_site_fract_y
_atom_site_fract_z
_atom_site_occupancy
Zn1 0.0000 0.2500 0.3750 1
Cd1 0.0000 0.0000 0.0000 1
C1 0.0000 0.2500 0.8750 1
```


Version B
ZnCd2C: optimized geometry, PBE.

- ρ: 7.6 g cm⁻³

```
data_ZnCd2C
_cell_length_a 6.4205
_cell_length_b 6.4205
_cell_length_c 6.4205
_cell_angle_alpha 90.00
_cell_angle_beta 90.00
_cell_angle_gamma 90.00
_symmetry_space_group_name_H-M 'F m -3 m'
_symmetry_Int_Tables_number 225
_symmetry_space_group_name_Hall '-F 4 2 3'
loop_
_atom_site_label
_atom_site_fract_x
_atom_site_fract_y
_atom_site_fract_z
_atom_site_occupancy
Zn1 0.0000 0.0000 0.0000 1
Cd1 0.2500 0.2500 0.2500 1
C1 0.0000 0.0000 0.5000 1
```


Preferred: version A; penalty for the next structure: 282 meV/atom.


Version A
ZrCdC3: optimized geometry, PBE.

- ρ: 5.6 g cm⁻³

```
data_ZrCdC3
_cell_length_a 4.1520
_cell_length_b 4.1520
_cell_length_c 4.1520
_cell_angle_alpha 90.00
_cell_angle_beta 90.00
_cell_angle_gamma 90.00
_symmetry_space_group_name_H-M 'P m -3 m'
_symmetry_Int_Tables_number 221
_symmetry_space_group_name_Hall '-P 4 2 3'
loop_
_atom_site_label
_atom_site_fract_x
_atom_site_fract_y
_atom_site_fract_z
_atom_site_occupancy
Zr1 0.0000 0.0000 0.0000 1
Cd1 0.5000 0.5000 0.5000 1
C1 0.0000 0.5000 0.5000 1
```


Version B
ZrCdC3: optimized geometry, PBE.

- ρ: 4.8 g cm⁻³

```
data_ZrCdC3
_cell_length_a 4.3690
_cell_length_b 4.3690
_cell_length_c 4.3690
_cell_angle_alpha 90.00
_cell_angle_beta 90.00
_cell_angle_gamma 90.00
_symmetry_space_group_name_H-M 'P m -3 m'
_symmetry_Int_Tables_number 221
_symmetry_space_group_name_Hall '-P 4 2 3'
loop_
_atom_site_label
_atom_site_fract_x
_atom_site_fract_y
_atom_site_fract_z
_atom_site_occupancy
Zr1 0.0000 0.0000 0.0000 1
Cd1 0.5000 0.5000 0.5000 1
C1 0.0000 0.0000 0.5000 1
```


Preferred: version B; penalty for the next structure: 530 meV/atom.


Version A
CeC2: optimized geometry, PBE.

- ρ: 6.0 g cm⁻³

```
data_CeC2
_cell_length_a 6.5562
_cell_length_b 4.2349
_cell_length_c 6.7166
_cell_angle_alpha 90.00
_cell_angle_beta 104.89
_cell_angle_gamma 90.00
_symmetry_space_group_name_H-M 'C 1 2/c 1'
_symmetry_Int_Tables_number 15
_symmetry_space_group_name_Hall '-C 2yc'
loop_
_atom_site_label
_atom_site_fract_x
_atom_site_fract_y
_atom_site_fract_z
_atom_site_occupancy
Ce1 0.0000 0.1969 0.2500 1
C1 0.2008 0.3710 0.9478 1
```


Version B
CeC2: optimized geometry, PBE.

- ρ: 6.1 g cm⁻³

```
data_CeC2
_cell_length_a 3.7666
_cell_length_b 3.7666
_cell_length_c 6.3094
_cell_angle_alpha 90.00
_cell_angle_beta 90.00
_cell_angle_gamma 90.00
_symmetry_space_group_name_H-M 'I 4/m m m'
_symmetry_Int_Tables_number 139
_symmetry_space_group_name_Hall '-I 4 2'
loop_
_atom_site_label
_atom_site_fract_x
_atom_site_fract_y
_atom_site_fract_z
_atom_site_occupancy
Ce1 0.0000 0.0000 0.0000 1
C1 0.0000 0.0000 0.3959 1
```


Version C
CeC2: optimized geometry, PBE.

- ρ: 5.6 g cm⁻³

```
data_CeC2
_cell_length_a 4.3657
_cell_length_b 4.3657
_cell_length_c 5.1302
_cell_angle_alpha 90.00
_cell_angle_beta 90.00
_cell_angle_gamma 90.00
_symmetry_space_group_name_H-M 'P 42/m n m'
_symmetry_Int_Tables_number 136
_symmetry_space_group_name_Hall '-P 4n 2n'
loop_
_atom_site_label
_atom_site_fract_x
_atom_site_fract_y
_atom_site_fract_z
_atom_site_occupancy
Ce1 0.0000 0.0000 0.0000 1
C1 0.1058 0.1058 0.5000 1
```


Preferred: version A; penalty for the next structure: 18 meV/atom.


Version A
CeC: optimized geometry, PBE.

- ρ: 7.6 g cm⁻³

```
data_CeC
_cell_length_a 3.4585
_cell_length_b 10.2238
_cell_length_c 3.7766
_cell_angle_alpha 90.00
_cell_angle_beta 90.00
_cell_angle_gamma 90.00
_symmetry_space_group_name_H-M 'C m c m'
_symmetry_Int_Tables_number 63
_symmetry_space_group_name_Hall '-C 2c 2'
loop_
_atom_site_label
_atom_site_fract_x
_atom_site_fract_y
_atom_site_fract_z
_atom_site_occupancy
Ce1 0.0000 0.1253 0.2500 1
C1 0.0000 0.3559 0.2500 1
```


Version B
CeC: optimized geometry, PBE.

- ρ: 7.7 g cm⁻³

```
data_CeC
_cell_length_a 3.7868
_cell_length_b 3.7868
_cell_length_c 9.1650
_cell_angle_alpha 90.00
_cell_angle_beta 90.00
_cell_angle_gamma 90.00
_symmetry_space_group_name_H-M 'I 4/m m m'
_symmetry_Int_Tables_number 139
_symmetry_space_group_name_Hall '-I 4 2'
loop_
_atom_site_label
_atom_site_fract_x
_atom_site_fract_y
_atom_site_fract_z
_atom_site_occupancy
Ce1 0.0000 0.0000 0.1534 1
C1 0.0000 0.0000 0.4243 1
```


Preferred: version A; penalty for the next structure: 61 meV/atom.


Version A
CeC: optimized geometry, PBE.

- ρ: 7.2 g cm⁻³

```
data_CeC
_cell_length_a 3.9094
_cell_length_b 4.7925
_cell_length_c 3.7220
_cell_angle_alpha 90.00
_cell_angle_beta 90.00
_cell_angle_gamma 90.00
_symmetry_space_group_name_H-M 'P m m n'
_symmetry_Int_Tables_number 59
loop_
_symmetry_equiv_pos_as_xyz
'x,y,z'
'-x,-y,-z'
'-x+1/2,-y+1/2,z'
'x+1/2,y+1/2,-z'
'x+1/2,-y,-z'
'-x+1/2,y,z'
'-x,y+1/2,-z'
'x,-y+1/2,z'
loop_
_atom_site_label
_atom_site_fract_x
_atom_site_fract_y
_atom_site_fract_z
_atom_site_occupancy
Ce1 0.2500 0.2500 0.2327 1
C1 0.2500 0.7500 0.3646 1
```


Version B
CeC: optimized geometry, PBE.

- ρ: 7.2 g cm⁻³

```
data_CeC
_cell_length_a 5.1877
_cell_length_b 5.1877
_cell_length_c 5.1877
_cell_angle_alpha 90.00
_cell_angle_beta 90.00
_cell_angle_gamma 90.00
_symmetry_space_group_name_H-M 'F m -3 m'
_symmetry_Int_Tables_number 225
_symmetry_space_group_name_Hall '-F 4 2 3'
loop_
_atom_site_label
_atom_site_fract_x
_atom_site_fract_y
_atom_site_fract_z
_atom_site_occupancy
Ce1 0.0000 0.0000 0.0000 1
C1 0.0000 0.0000 0.5000 1
```


Preferred: version A; penalty for the next structure: 19 meV/atom.


Version A
Ce3CCl2: optimized geometry, PBE.

- ρ: 6.5 g cm⁻³

```
data_Ce3CCl2
_cell_length_a 6.5893
_cell_length_b 11.3984
_cell_length_c 7.1769
_cell_angle_alpha 90.00
_cell_angle_beta 107.79
_cell_angle_gamma 90.00
_symmetry_space_group_name_H-M 'C 1 2/m 1'
_symmetry_Int_Tables_number 12
_symmetry_space_group_name_Hall '-C 2y'
loop_
_atom_site_label
_atom_site_fract_x
_atom_site_fract_y
_atom_site_fract_z
_atom_site_occupancy
Ce1 0.2129 0.0000 0.2082 1
Ce2 0.2487 0.3216 0.2113 1
C1 0.0000 0.1672 0.0000 1
Cl1 0.0000 0.0000 0.5000 1
Cl2 0.0000 0.3396 0.5000 1
Cl3 0.0000 0.5000 0.0000 1
```


Version B
Ce3CCl2: optimized geometry, PBE.

- ρ: 6.6 g cm⁻³

```
data_Ce3CCl2
_cell_length_a 3.7471
_cell_length_b 5.5512
_cell_length_c 12.2310
_cell_angle_alpha 90.00
_cell_angle_beta 90.00
_cell_angle_gamma 90.00
_symmetry_space_group_name_H-M 'I m m m'
_symmetry_Int_Tables_number 71
_symmetry_space_group_name_Hall '-I 2 2'
loop_
_atom_site_label
_atom_site_fract_x
_atom_site_fract_y
_atom_site_fract_z
_atom_site_occupancy
Ce1 0.0000 0.0000 0.0000 1
Ce2 0.0000 0.0000 0.3616 1
C1 0.0000 0.5000 0.0000 1
Cl1 0.0000 0.5000 0.3262 1
```


Preferred: version A; penalty for the next structure: 33 meV/atom.


Version A
Ce3CCl3: optimized geometry, PBE.

- ρ: 5.1 g cm⁻³

```
data_Ce3CCl3
_cell_length_a 8.4567
_cell_length_b 12.4588
_cell_length_c 6.7156
_cell_angle_alpha 90.00
_cell_angle_beta 100.81
_cell_angle_gamma 90.00
_symmetry_space_group_name_H-M 'C 1 2/m 1'
_symmetry_Int_Tables_number 12
_symmetry_space_group_name_Hall '-C 2y'
loop_
_atom_site_label
_atom_site_fract_x
_atom_site_fract_y
_atom_site_fract_z
_atom_site_occupancy
Ce1 0.1051 0.0000 0.2971 1
Ce2 0.2077 0.3474 0.2168 1
C1 0.1645 0.0000 0.6500 1
Cl1 0.0000 0.1687 0.0000 1
Cl2 0.0000 0.2571 0.5000 1
Cl3 0.0844 0.5000 0.8219 1
```


Version B
Ce3CCl3: optimized geometry, PBE.

- ρ: 5.2 g cm⁻³

```
data_Ce3CCl3
_cell_length_a 8.1023
_cell_length_b 3.7999
_cell_length_c 11.1270
_cell_angle_alpha 90.00
_cell_angle_beta 93.33
_cell_angle_gamma 90.00
_symmetry_space_group_name_H-M 'P 1 21/m 1'
_symmetry_Int_Tables_number 11
_symmetry_space_group_name_Hall '-P 2yb'
loop_
_atom_site_label
_atom_site_fract_x
_atom_site_fract_y
_atom_site_fract_z
_atom_site_occupancy
Ce1 0.0930 0.2500 0.3893 1
Ce2 0.1290 0.2500 0.8445 1
Ce3 0.3336 0.7500 0.6199 1
C1 0.1283 0.2500 0.6223 1
Cl1 0.1315 0.2500 0.1206 1
Cl2 0.3754 0.7500 0.3630 1
Cl3 0.3869 0.7500 0.8741 1
```


Preferred: version B; penalty for the next structure: 254 meV/atom.